ErNiC: relaxed, PBE-GGA.

Unit cell a=3.5020 b=3.5020 c=3.7484 alpha=90.00 beta=90.00 gamma=120.00
Sites, in units of the cell vectors:
Er  0.0000  0.0000  0.0000
Ni  0.6667  0.3333  0.5000
C  0.3333  0.6667  0.5000

The value obtained for the calculated total energy is -6.715 eV/atom. Its space group is No. 187.

---

Tc2NiBr: relaxed, PBE-GGA.

Unit cell a=8.4235 b=8.4235 c=8.4235 alpha=19.77 beta=19.77 gamma=19.77
Sites, in units of the cell vectors:
Tc  0.2463  0.2463  0.2463
Tc  0.7537  0.7537  0.7537
Ni  0.5000  0.5000  0.5000
Br  0.0000  0.0000  0.0000

The value obtained for the calculated total energy is -6.327 eV/atom. Its space group is No. 166.